Below is a geometry-optimized BC structure, with properties calculated at the PBE-GGA level.

## Properties
- formation energy from the elements (kJ per mole of atoms) = 38.40
- N(E_F) (states/eV/f.u.) = 0.13
- E (eV per cell) = -90.63
- energy relative to the lowest polymorph listed for this composition (eV/atom) = 0.247

abc: 6.1200 6.1200 3.5921
angles: 89.34 89.34 142.47
Last column: nearest neighbours and their distance in Å.
Element x y z (fractional)
C1 0.9991 0.0009 0.0000  4 C 1.53-1.56
C2 0.1346 0.3015 0.2361  2 C 1.49-1.56, 1 B 1.56
C3 0.3090 0.1593 0.7524  1 C 1.53, 3 B 1.59-1.61
C4 0.8472 0.1528 0.5000  2 C 1.49, 2 B 1.61
C5 0.8407 0.6910 0.2476  1 C 1.53, 3 B 1.59-1.61
C6 0.6985 0.8654 0.7639  2 C 1.49-1.56, 1 B 1.56
B1 0.1512 0.8488 0.5000  2 C 1.59
B2 0.6438 0.3562 0.0000  2 C 1.61, 2 B 1.75
B3 0.5012 0.4988 0.5000  4 C 1.61-1.78
B4 0.9554 0.4329 0.7713  1 C 1.61, 1 B 1.75
B5 0.3523 0.6477 0.0000  2 C 1.56
B6 0.5671 0.0446 0.2287  1 C 1.61, 1 B 1.75